No. 1
This record from the Alexandria database describes a relaxed TlCd2Pb crystal. The functional is PBE-GGA.

Computed properties:
ΔH_f (0 K) = 20 meV/atom
E_tot = -15.65 eV per cell
Crystal system = monoclinic

Unit cell a=3.4218 b=5.2695 c=12.3540 alpha=90.00 beta=97.81 gamma=90.00
Fractional coordinates of all 8 atoms:
1 Tl 0.2031 0.0000 0.4166
2 Tl 0.7969 0.5000 0.5834
3 Cd 0.0317 0.5023 0.0674
4 Cd 0.4279 0.5013 0.8555
5 Cd 0.5721 0.0013 0.1445
6 Cd 0.9683 0.0023 0.9326
7 Pb 0.3591 0.0003 0.7071
8 Pb 0.6409 0.5003 0.2929

No. 2
This record from the Alexandria database describes a relaxed TlCd2Pb crystal. The functional is PBE-GGA.

Computed properties:
ΔH_f (0 K) = 48 meV/atom
E_tot = -7.71 eV per cell
Crystal system = orthorhombic

Unit cell a=3.2886 b=4.4300 c=7.5149 alpha=90.00 beta=90.00 gamma=90.00
Fractional coordinates of all 4 atoms:
1 Tl 0.0000 0.0000 0.0000
2 Cd 0.0000 0.0000 0.4576
3 Cd 0.5000 0.5000 0.2538
4 Pb 0.5000 0.5000 0.7086

No. 3
This record from the Alexandria database describes a relaxed Tl8Cd2Pb3 crystal. The functional is PBE-GGA.

Computed properties:
ΔH_f (0 K) = 72 meV/atom
Excess energy over the best structure of this formula in the dataset = 2 meV per atom
E_tot = -30.95 eV per cell
Crystal system = orthorhombic

Unit cell a=10.2566 b=10.2566 c=5.4844 alpha=90.00 beta=90.00 gamma=134.36
Fractional coordinates of all 13 atoms:
1 Tl 0.1373 0.8627 0.0000
2 Tl 0.1686 0.4042 0.5000
3 Tl 0.3266 0.6734 0.0000
4 Tl 0.4042 0.1686 0.5000
5 Tl 0.5958 0.8314 0.5000
6 Tl 0.6734 0.3266 0.0000
7 Tl 0.8314 0.5958 0.5000
8 Tl 0.8627 0.1373 0.0000
9 Cd 0.2340 0.7660 0.5000
10 Cd 0.7660 0.2340 0.5000
11 Pb 0.0000 0.0000 0.5000
12 Pb 0.2926 0.2926 0.0000
13 Pb 0.7074 0.7074 0.0000

No. 4
This record from the Alexandria database describes a relaxed Tl2CdPb2 crystal. The functional is PBE-GGA.

Computed properties:
ΔH_f (0 K) = 179 meV/atom
Excess energy over the best structure of this formula in the dataset = 168 meV per atom
E_tot = -12.17 eV per cell
Crystal system = tetragonal

Unit cell a=8.8874 b=8.8874 c=8.8874 alpha=151.30 beta=151.30 gamma=41.04
Fractional coordinates of all 5 atoms:
1 Tl 0.2500 0.7500 0.5000
2 Tl 0.7500 0.2500 0.5000
3 Cd 0.0000 0.0000 0.0000
4 Pb 0.4051 0.4051 0.0000
5 Pb 0.5949 0.5949 0.0000

No. 5
This record from the Alexandria database describes a relaxed Tl2CdPb2 crystal. The functional is PBE-GGA.

Computed properties:
ΔH_f (0 K) = 168 meV/atom
Excess energy over the best structure of this formula in the dataset = 157 meV per atom
E_tot = -12.22 eV per cell
Crystal system = tetragonal

Unit cell a=8.8371 b=8.8371 c=8.8371 alpha=150.26 beta=150.26 gamma=42.55
Fractional coordinates of all 5 atoms:
1 Tl 0.0962 0.0962 0.0000
2 Tl 0.9038 0.9038 0.0000
3 Cd 0.5000 0.5000 0.0000
4 Pb 0.2500 0.7500 0.5000
5 Pb 0.7500 0.2500 0.5000

No. 6
This record from the Alexandria database describes a relaxed Tl8Cd3Pb2 crystal. The functional is PBE-GGA.

Computed properties:
ΔH_f (0 K) = 60 meV/atom
E_tot = -28.32 eV per cell
Crystal system = monoclinic

Unit cell a=9.5375 b=4.8023 c=9.7025 alpha=90.00 beta=114.85 gamma=90.00
Fractional coordinates of all 13 atoms:
1 Tl 0.0005 0.0000 0.2006
2 Tl 0.9995 0.0000 0.7994
3 Tl 0.3126 0.5000 0.4412
4 Tl 0.3464 0.5000 0.8337
5 Tl 0.4334 0.0000 0.2657
6 Tl 0.5666 0.0000 0.7343
7 Tl 0.6536 0.5000 0.1663
8 Tl 0.6874 0.5000 0.5588
9 Cd 0.0000 0.5000 0.5000
10 Cd 0.1986 0.0000 0.5916
11 Cd 0.8014 0.0000 0.4084
12 Pb 0.1855 0.5000 0.0707
13 Pb 0.8145 0.5000 0.9293

No. 7
This record from the Alexandria database describes a relaxed Tl2CdPb6 crystal. The functional is PBE-GGA.

Computed properties:
ΔH_f (0 K) = 42 meV/atom
Excess energy over the best structure of this formula in the dataset = 0 meV per atom
E_tot = -55.04 eV per cell
Crystal system = monoclinic

Unit cell a=9.3756 b=9.3756 c=6.4806 alpha=94.06 beta=94.06 gamma=97.27
Fractional coordinates of all 18 atoms:
1 Tl 0.1165 0.1392 0.3970
2 Tl 0.1392 0.1165 0.8970
3 Tl 0.8608 0.8835 0.1030
4 Tl 0.8835 0.8608 0.6030
5 Cd 0.4194 0.5806 0.7500
6 Cd 0.5806 0.4194 0.2500
7 Pb 0.0876 0.4488 0.7210
8 Pb 0.2013 0.7691 0.9987
9 Pb 0.2309 0.7987 0.5013
10 Pb 0.2571 0.4592 0.2309
11 Pb 0.4488 0.0876 0.2210
12 Pb 0.4592 0.2571 0.7309
13 Pb 0.5408 0.7429 0.2691
14 Pb 0.5512 0.9124 0.7790
15 Pb 0.7429 0.5408 0.7691
16 Pb 0.7691 0.2013 0.4987
17 Pb 0.7987 0.2309 0.0013
18 Pb 0.9124 0.5512 0.2790

No. 8
This record from the Alexandria database describes a relaxed Tl2CdPb crystal. The functional is PBE-GGA.

Computed properties:
ΔH_f (0 K) = 39 meV/atom
E_tot = -9.20 eV per cell
Crystal system = tetragonal

Unit cell a=3.7438 b=3.7438 c=8.3227 alpha=90.00 beta=90.00 gamma=90.00
Fractional coordinates of all 4 atoms:
1 Tl 0.0000 0.0000 0.2313
2 Tl 0.0000 0.0000 0.7687
3 Cd 0.5000 0.5000 0.0000
4 Pb 0.5000 0.5000 0.5000

No. 9
This record from the Alexandria database describes a relaxed Tl2CdPb crystal. The functional is PBE-GGA.

Computed properties:
ΔH_f (0 K) = 33 meV/atom
E_tot = -9.22 eV per cell
Crystal system = trigonal

Unit cell a=11.2116 b=11.2116 c=11.2116 alpha=17.99 beta=17.99 gamma=17.99
Fractional coordinates of all 4 atoms:
1 Tl 0.0000 0.0000 0.0000
2 Tl 0.1743 0.1743 0.1743
3 Cd 0.5868 0.5868 0.5868
4 Pb 0.4202 0.4202 0.4202

No. 10
This record from the Alexandria database describes a relaxed Tl3Cd2Pb3 crystal. The functional is PBE-GGA.

Computed properties:
ΔH_f (0 K) = 25 meV/atom
E_tot = -19.86 eV per cell
Crystal system = monoclinic

Unit cell a=9.6474 b=9.6474 c=5.0594 alpha=105.08 beta=105.08 gamma=30.92
Fractional coordinates of all 8 atoms:
1 Tl 0.0000 0.0000 0.0000
2 Tl 0.1329 0.1329 0.6346
3 Tl 0.8671 0.8671 0.3654
4 Cd 0.2487 0.2487 0.2494
5 Cd 0.7513 0.7513 0.7506
6 Pb 0.3655 0.3655 0.8650
7 Pb 0.5000 0.5000 0.5000
8 Pb 0.6345 0.6345 0.1350

No. 11
This record from the Alexandria database describes a relaxed Tl6CdPb3 crystal. The functional is PBE-GGA.

Computed properties:
ΔH_f (0 K) = 56 meV/atom
Excess energy over the best structure of this formula in the dataset = 25 meV per atom
E_tot = -25.67 eV per cell
Crystal system = trigonal

Unit cell a=6.1829 b=6.1829 c=9.6647 alpha=90.00 beta=90.00 gamma=120.00
Fractional coordinates of all 10 atoms:
1 Tl 0.0000 0.3753 0.3010
2 Tl 0.0000 0.6247 0.6990
3 Tl 0.3753 0.0000 0.3010
4 Tl 0.3753 0.3753 0.6990
5 Tl 0.6247 0.0000 0.6990
6 Tl 0.6247 0.6247 0.3010
7 Cd 0.0000 0.0000 0.5000
8 Pb 0.0000 0.0000 0.0000
9 Pb 0.3333 0.6667 0.0000
10 Pb 0.6667 0.3333 0.0000

No. 12
This record from the Alexandria database describes a relaxed Tl12Cd3Pb crystal. The functional is PBE-GGA.

Computed properties:
ΔH_f (0 K) = 41 meV/atom
E_tot = -34.20 eV per cell
Crystal system = tetragonal

Unit cell a=4.8204 b=4.8204 c=20.3456 alpha=90.00 beta=90.00 gamma=90.00
Fractional coordinates of all 16 atoms:
1 Tl 0.0000 0.0000 0.0000
2 Tl 0.0000 0.0000 0.2464
3 Tl 0.0000 0.0000 0.5000
4 Tl 0.0000 0.0000 0.7536
5 Tl 0.0000 0.5000 0.1225
6 Tl 0.0000 0.5000 0.3716
7 Tl 0.0000 0.5000 0.6284
8 Tl 0.0000 0.5000 0.8775
9 Tl 0.5000 0.0000 0.1225
10 Tl 0.5000 0.0000 0.3716
11 Tl 0.5000 0.0000 0.6284
12 Tl 0.5000 0.0000 0.8775
13 Cd 0.5000 0.5000 0.0000
14 Cd 0.5000 0.5000 0.2433
15 Cd 0.5000 0.5000 0.7567
16 Pb 0.5000 0.5000 0.5000

No. 13
This record from the Alexandria database describes a relaxed TlCd2Pb crystal. The functional is PBE-GGA.

Computed properties:
ΔH_f (0 K) = 67 meV/atom
E_tot = -7.64 eV per cell
Crystal system = trigonal

Unit cell a=10.1109 b=10.1109 c=10.1109 alpha=20.60 beta=20.60 gamma=20.60
Fractional coordinates of all 4 atoms:
1 Tl 0.0000 0.0000 0.0000
2 Cd 0.4159 0.4159 0.4159
3 Cd 0.5852 0.5852 0.5852
4 Pb 0.8342 0.8342 0.8342

No. 14
This record from the Alexandria database describes a relaxed Tl6CdPb3 crystal. The functional is PBE-GGA.

Computed properties:
ΔH_f (0 K) = 32 meV/atom
Excess energy over the best structure of this formula in the dataset = 0 meV per atom
E_tot = -51.84 eV per cell
Crystal system = monoclinic

Unit cell a=12.9341 b=3.3645 c=14.7330 alpha=90.00 beta=107.11 gamma=90.00
Fractional coordinates of all 20 atoms:
1 Tl 0.0983 0.2500 0.2076
2 Tl 0.1665 0.7500 0.7860
3 Tl 0.2425 0.2500 0.6036
4 Tl 0.2808 0.7500 0.4003
5 Tl 0.3476 0.7500 0.1926
6 Tl 0.3665 0.2500 0.9843
7 Tl 0.6335 0.7500 0.0157
8 Tl 0.6524 0.2500 0.8074
9 Tl 0.7192 0.2500 0.5997
10 Tl 0.7575 0.7500 0.3964
11 Tl 0.8335 0.2500 0.2140
12 Tl 0.9017 0.7500 0.7924
13 Cd 0.4233 0.7500 0.8083
14 Cd 0.5767 0.2500 0.1917
15 Pb 0.0242 0.7500 0.4043
16 Pb 0.1186 0.7500 0.9968
17 Pb 0.4836 0.7500 0.6083
18 Pb 0.5164 0.2500 0.3917
19 Pb 0.8814 0.2500 0.0032
20 Pb 0.9758 0.2500 0.5957

No. 15
This record from the Alexandria database describes a relaxed Tl6Cd3Pb crystal. The functional is PBE-GGA.

Computed properties:
ΔH_f (0 K) = 123 meV/atom
E_tot = -19.42 eV per cell
Crystal system = trigonal

Unit cell a=6.5131 b=6.5131 c=8.4195 alpha=90.00 beta=90.00 gamma=120.00
Fractional coordinates of all 10 atoms:
1 Tl 0.0000 0.4150 0.3002
2 Tl 0.0000 0.5850 0.6998
3 Tl 0.4150 0.0000 0.3002
4 Tl 0.4150 0.4150 0.6998
5 Tl 0.5850 0.0000 0.6998
6 Tl 0.5850 0.5850 0.3002
7 Cd 0.0000 0.0000 0.0000
8 Cd 0.3333 0.6667 0.0000
9 Cd 0.6667 0.3333 0.0000
10 Pb 0.0000 0.0000 0.5000

No. 16
This record from the Alexandria database describes a relaxed TlCd2Pb crystal. The functional is PBE-GGA.

Computed properties:
ΔH_f (0 K) = 79 meV/atom
E_tot = -7.59 eV per cell
Crystal system = orthorhombic

Unit cell a=6.3555 b=6.3555 c=6.3555 alpha=146.75 beta=126.80 gamma=64.19
Fractional coordinates of all 4 atoms:
1 Tl 0.0000 0.0000 0.0000
2 Cd 0.2488 0.7488 0.5000
3 Cd 0.7512 0.2512 0.5000
4 Pb 0.5000 0.5000 0.0000

No. 17
This record from the Alexandria database describes a relaxed Tl8Cd2Pb3 crystal. The functional is PBE-GGA.

Computed properties:
ΔH_f (0 K) = 70 meV/atom
Excess energy over the best structure of this formula in the dataset = 0 meV per atom
E_tot = -30.98 eV per cell
Crystal system = monoclinic

Unit cell a=9.0725 b=9.0725 c=5.7627 alpha=98.68 beta=98.68 gamma=64.73
Fractional coordinates of all 13 atoms:
1 Tl 0.0745 0.6726 0.9708
2 Tl 0.1105 0.1105 0.4894
3 Tl 0.3274 0.9255 0.0292
4 Tl 0.3307 0.3307 0.4033
5 Tl 0.6693 0.6693 0.5967
6 Tl 0.6726 0.0745 0.9708
7 Tl 0.8895 0.8895 0.5106
8 Tl 0.9255 0.3274 0.0292
9 Cd 0.2774 0.2774 0.8798
10 Cd 0.7226 0.7226 0.1202
11 Pb 0.2933 0.7067 0.5000
12 Pb 0.5000 0.5000 0.0000
13 Pb 0.7067 0.2933 0.5000

No. 18
This record from the Alexandria database describes a relaxed TlCd2Pb crystal. The functional is PBE-GGA.

Computed properties:
ΔH_f (0 K) = 51 meV/atom
E_tot = -7.70 eV per cell
Crystal system = tetragonal

Unit cell a=3.4085 b=3.4085 c=9.4167 alpha=90.00 beta=90.00 gamma=90.00
Fractional coordinates of all 4 atoms:
1 Tl 0.0000 0.0000 0.0000
2 Cd 0.5000 0.5000 0.2490
3 Cd 0.5000 0.5000 0.7510
4 Pb 0.0000 0.0000 0.5000

No. 19
This record from the Alexandria database describes a relaxed Tl2CdPb3 crystal. The functional is PBE-GGA.

Computed properties:
ΔH_f (0 K) = 79 meV/atom
Excess energy over the best structure of this formula in the dataset = 20 meV per atom
E_tot = -32.59 eV per cell
Crystal system = monoclinic

Unit cell a=7.3445 b=7.3445 c=9.1646 alpha=108.65 beta=108.65 gamma=54.73
Fractional coordinates of all 12 atoms:
1 Tl 0.1456 0.1866 0.0770
2 Tl 0.1866 0.1456 0.5770
3 Tl 0.8134 0.8544 0.4230
4 Tl 0.8544 0.8134 0.9230
5 Cd 0.2483 0.7517 0.2500
6 Cd 0.7517 0.2483 0.7500
7 Pb 0.2335 0.7665 0.7500
8 Pb 0.3447 0.3810 0.4274
9 Pb 0.3810 0.3447 0.9274
10 Pb 0.6190 0.6553 0.0726
11 Pb 0.6553 0.6190 0.5726
12 Pb 0.7665 0.2335 0.2500

No. 20
This record from the Alexandria database describes a relaxed TlCd2Pb crystal. The functional is PBE-GGA.

Computed properties:
ΔH_f (0 K) = 52 meV/atom
E_tot = -7.69 eV per cell
Crystal system = trigonal

Unit cell a=11.3989 b=11.3989 c=11.3989 alpha=16.90 beta=16.90 gamma=16.90
Fractional coordinates of all 4 atoms:
1 Tl 0.0000 0.0000 0.0000
2 Cd 0.2534 0.2534 0.2534
3 Cd 0.5093 0.5093 0.5093
4 Pb 0.7592 0.7592 0.7592

No. 21
This record from the Alexandria database describes a relaxed Tl3CdPb6 crystal. The functional is PBE-GGA.

Computed properties:
ΔH_f (0 K) = 36 meV/atom
Excess energy over the best structure of this formula in the dataset = 0 meV per atom
E_tot = -59.80 eV per cell
Crystal system = monoclinic

Unit cell a=13.7941 b=3.5099 c=14.0433 alpha=90.00 beta=112.43 gamma=90.00
Fractional coordinates of all 20 atoms:
1 Tl 0.0445 0.2500 0.1190
2 Tl 0.1361 0.2500 0.5827
3 Tl 0.3826 0.7500 0.5345
4 Tl 0.6174 0.2500 0.4655
5 Tl 0.8639 0.7500 0.4173
6 Tl 0.9555 0.7500 0.8810
7 Cd 0.4183 0.2500 0.0217
8 Cd 0.5817 0.7500 0.9783
9 Pb 0.0979 0.7500 0.3623
10 Pb 0.1435 0.2500 0.8322
11 Pb 0.2336 0.7500 0.0632
12 Pb 0.2891 0.2500 0.3056
13 Pb 0.3392 0.7500 0.8008
14 Pb 0.4735 0.7500 0.2474
15 Pb 0.5265 0.2500 0.7526
16 Pb 0.6608 0.2500 0.1992
17 Pb 0.7109 0.7500 0.6944
18 Pb 0.7664 0.2500 0.9368
19 Pb 0.8565 0.7500 0.1678
20 Pb 0.9021 0.2500 0.6377

No. 22
This record from the Alexandria database describes a relaxed Tl3Cd2Pb7 crystal. The functional is PBE-GGA.

Computed properties:
ΔH_f (0 K) = 43 meV/atom
E_tot = -34.37 eV per cell
Crystal system = monoclinic

Unit cell a=6.1778 b=3.3855 c=17.8825 alpha=90.00 beta=96.17 gamma=90.00
Fractional coordinates of all 12 atoms:
1 Tl 0.0000 0.0000 0.0000
2 Tl 0.2479 0.5000 0.3474
3 Tl 0.7521 0.5000 0.6526
4 Cd 0.2594 0.0000 0.6931
5 Cd 0.7406 0.0000 0.3069
6 Pb 0.1302 0.5000 0.8376
7 Pb 0.2565 0.0000 0.5249
8 Pb 0.3664 0.0000 0.1657
9 Pb 0.5000 0.5000 0.0000
10 Pb 0.6336 0.0000 0.8343
11 Pb 0.7435 0.0000 0.4751
12 Pb 0.8698 0.5000 0.1624

No. 23
This record from the Alexandria database describes a relaxed Tl3CdPb6 crystal. The functional is PBE-GGA.

Computed properties:
ΔH_f (0 K) = 70 meV/atom
Excess energy over the best structure of this formula in the dataset = 33 meV per atom
E_tot = -29.57 eV per cell
Crystal system = trigonal

Unit cell a=6.4402 b=6.4402 c=8.9339 alpha=90.00 beta=90.00 gamma=120.00
Fractional coordinates of all 10 atoms:
1 Tl 0.0000 0.0000 0.0000
2 Tl 0.3333 0.6667 0.0000
3 Tl 0.6667 0.3333 0.0000
4 Cd 0.0000 0.0000 0.5000
5 Pb 0.0000 0.4059 0.3197
6 Pb 0.0000 0.5941 0.6803
7 Pb 0.4059 0.0000 0.3197
8 Pb 0.4059 0.4059 0.6803
9 Pb 0.5941 0.0000 0.6803
10 Pb 0.5941 0.5941 0.3197